(1)
Li2CuPt9: relaxed, PBE-GGA.

Energy of formation = -318 meV per atom
E_tot = -5.509 eV per atom
D(E_F) = 0.82 states/eV/atom

Lattice parameters (Å, degrees): 3.8859 3.8859 11.7049 90.00 90.00 90.00
With the nearest neighbours (Å) after each atom.
Space group P4/mmm (No. 123)
One atom of each set of equivalent atoms:
1 Li 0.0000 0.0000 0.1660  12 Pt 2.75
2 Cu 0.0000 0.0000 0.5000  12 Pt 2.75-2.76
3 Pt 0.0000 0.5000 0.0000  8 Pt 2.74-2.75, 4 Li 2.75
4 Pt 0.0000 0.5000 0.3324  8 Pt 2.75-2.76, 2 Li 2.75, 2 Cu 2.76
5 Pt 0.5000 0.5000 0.1656  8 Pt 2.74-2.75, 4 Li 2.75
6 Pt 0.5000 0.5000 0.5000  4 Cu 2.75, 8 Pt 2.76

(2)
LiCu4Pt: relaxed, PBE-GGA.

Relative energy among the computed polymorphs = 0.76 eV per formula unit
Energy of formation = -61 meV per atom
E_tot = -4.117 eV per atom
D(E_F) = 0.30 states/eV/atom

Lattice parameters (Å, degrees): 4.7792 5.0607 6.4980 90.00 90.00 90.00
With the nearest neighbours (Å) after each atom.
Space group Pmma (No. 51)
One atom of each set of equivalent atoms:
1 Li 0.2500 0.0000 0.1886  2 Pt 2.53, 10 Cu 2.60-2.71
2 Cu 0.0000 0.2465 0.5000  6 Cu 2.39-2.57, 2 Li 2.66, 2 Pt 2.66
3 Cu 0.2500 0.2507 0.8402  4 Cu 2.51-2.54, 3 Li 2.60-2.71, 3 Pt 2.61-2.71
4 Pt 0.2500 0.5000 0.1912  2 Li 2.53, 10 Cu 2.61-2.71

Q: What is the E_tot in the second record?
A: -4.117 eV per atom

Q: Which of these has the highest D(E_F)?
A: Li2CuPt9

Q: Among the records above, which one has the lowest E_tot?
A: Li2CuPt9

Q: D(E_F) of number 2 (LiCu4Pt)?
A: 0.30 states/eV/atom